1.
Entry from the Alexandria database: a geometry-optimized PrTe3Pd3 structure (PBE).

Summary:
space group: Pm-3n, No. 223
total moment: 0.00 μB per atom
formation energy without anion corrections: -30.0 kJ per mole of atoms
calculated density: 7.10 Mg/m³

Lattice parameters (Å, degrees): 7.333 7.333 7.333 90.00 90.00 90.00
Fractional coordinates of all 14 atoms:
Pr 0.000 0.000 0.000
Pr 0.500 0.500 0.500
Te 0.000 0.250 0.500
Te 0.000 0.750 0.500
Te 0.250 0.500 0.000
Te 0.500 0.000 0.250
Te 0.500 0.000 0.750
Te 0.750 0.500 0.000
Pd 0.000 0.500 0.250
Pd 0.000 0.500 0.750
Pd 0.250 0.000 0.500
Pd 0.500 0.250 0.000
Pd 0.500 0.750 0.000
Pd 0.750 0.000 0.500

2.
Entry from the Alexandria database: a geometry-optimized PrTe2Pd7 structure (PBE).

Summary:
space group: I4/mmm, No. 139
total moment: 0.00 μB per atom
formation energy without anion corrections: -43.1 kJ per mole of atoms
calculated density: 9.57 Mg/m³

Lattice parameters (Å, degrees): 11.093 11.093 11.093 157.60 157.60 31.89
Fractional coordinates of all 10 atoms:
Pr 0.000 0.000 0.000
Te 0.327 0.327 0.000
Te 0.673 0.673 0.000
Pd 0.097 0.597 0.500
Pd 0.250 0.750 0.500
Pd 0.403 0.903 0.500
Pd 0.500 0.500 0.000
Pd 0.597 0.097 0.500
Pd 0.750 0.250 0.500
Pd 0.903 0.403 0.500

3.
Entry from the Alexandria database: a geometry-optimized PrTePd structure (PBE).

Summary:
space group: P3m1, No. 156
total moment: 0.00 μB per atom
formation energy without anion corrections: -104.9 kJ per mole of atoms
calculated density: 8.29 Mg/m³

Lattice parameters (Å, degrees): 4.579 4.579 4.137 90.00 90.00 120.00
Fractional coordinates of all 3 atoms:
Pr 0.000 0.000 0.000
Te 0.667 0.333 0.499
Pd 0.333 0.667 0.504

4.
Entry from the Alexandria database: a geometry-optimized PrTePd structure (PBE).

Summary:
space group: R-3m, No. 166
total moment: 0.00 μB per atom
formation energy without anion corrections: -82.2 kJ per mole of atoms
calculated density: 6.42 Mg/m³

Lattice parameters (Å, degrees): 11.246 11.246 11.246 23.21 23.21 23.21
Fractional coordinates of all 6 atoms:
Pr 0.062 0.062 0.062
Pr 0.938 0.938 0.938
Te 0.220 0.220 0.220
Te 0.780 0.780 0.780
Pd 0.332 0.332 0.332
Pd 0.668 0.668 0.668

5.
Entry from the Alexandria database: a geometry-optimized Pr2TePd structure (PBE).

Summary:
space group: R3m, No. 160
total moment: 0.00 μB per atom
ΔE to the lowest computed polymorph: 30.2 meV per atom
formation energy without anion corrections: -98.8 kJ per mole of atoms
calculated density: 6.94 Mg/m³

Lattice parameters (Å, degrees): 8.088 8.088 8.088 30.85 30.85 30.85
Fractional coordinates of all 4 atoms:
Pr 0.000 0.000 0.000
Pr 0.191 0.191 0.191
Te 0.428 0.428 0.428
Pd 0.595 0.595 0.595

6.
Entry from the Alexandria database: a geometry-optimized PrTh2Pd7 structure (PBE).

Summary:
space group: Cmmm, No. 65
total moment: 0.00 μB per atom
ΔE to the lowest computed polymorph: 274.0 meV per atom
calculated density: 9.15 Mg/m³
energy of formation from the pure elements: -0.3873 eV/atom

Lattice parameters (Å, degrees): 8.439 8.439 4.438 90.00 90.00 129.15
Fractional coordinates of all 10 atoms:
Pr 0.000 0.000 0.000
Th 0.308 0.692 0.500
Th 0.692 0.308 0.500
Pd 0.082 0.288 0.500
Pd 0.193 0.807 0.000
Pd 0.288 0.082 0.500
Pd 0.500 0.500 0.500
Pd 0.712 0.918 0.500
Pd 0.807 0.193 0.000
Pd 0.918 0.712 0.500

7.
Entry from the Alexandria database: a geometry-optimized PrTh4Pd4 structure (PBE).

Summary:
space group: P4_2/n, No. 86
total moment: 0.00 μB per atom
calculated density: 9.90 Mg/m³
energy of formation from the pure elements: -0.5053 eV/atom

Lattice parameters (Å, degrees): 9.161 9.161 5.972 90.00 90.00 90.00
Fractional coordinates of all 18 atoms:
Pr 0.250 0.250 0.250
Pr 0.750 0.750 0.750
Th 0.057 0.661 0.156
Th 0.161 0.943 0.656
Th 0.339 0.557 0.656
Th 0.443 0.839 0.156
Th 0.557 0.161 0.844
Th 0.661 0.443 0.344
Th 0.839 0.057 0.344
Th 0.943 0.339 0.844
Pd 0.040 0.631 0.647
Pd 0.131 0.960 0.147
Pd 0.369 0.540 0.147
Pd 0.460 0.869 0.647
Pd 0.540 0.131 0.353
Pd 0.631 0.460 0.853
Pd 0.869 0.040 0.853
Pd 0.960 0.369 0.353

8.
Entry from the Alexandria database: a geometry-optimized PrThPd2 structure (PBE).

Summary:
space group: P2_1/m, No. 11
total moment: 0.00 μB per atom
ΔE to the lowest computed polymorph: 0.0 meV per atom
calculated density: 9.72 Mg/m³
energy of formation from the pure elements: -0.7775 eV/atom

Lattice parameters (Å, degrees): 5.883 4.641 7.743 90.00 108.69 90.00
Fractional coordinates of all 8 atoms:
Pr 0.230 0.250 0.434
Pr 0.770 0.750 0.566
Th 0.223 0.250 0.930
Th 0.777 0.750 0.070
Pd 0.314 0.750 0.188
Pd 0.330 0.750 0.725
Pd 0.670 0.250 0.275
Pd 0.686 0.250 0.812

Number 1: electronic total energy -0.1678 hartree per atom. Number 2: electronic total energy -0.1907 hartree per atom. Number 3: electronic total energy -0.2006 hartree per atom. Number 4: electronic total energy -0.1919 hartree per atom. Number 5: electronic total energy -0.2020 hartree per atom. Number 6: electronic total energy -0.2199 hartree per atom. Number 7: electronic total energy -0.2441 hartree per atom. Number 8: electronic total energy -0.2361 hartree per atom.